First-principles (meta-GGA SCAN) data for a PBEsol-optimized structure of WAu2, as listed in the Alexandria database.

Geometry as CIF:
```
data_WAu2
_cell_length_a 4.5855
_cell_length_b 4.5855
_cell_length_c 2.6880
_cell_angle_alpha 90.00
_cell_angle_beta 90.00
_cell_angle_gamma 120.00
_symmetry_space_group_name_H-M 'P -3 m 1'
_symmetry_Int_Tables_number 164
_symmetry_space_group_name_Hall '-P 3 2"'
loop_
_atom_site_label
_atom_site_type_symbol
_atom_site_fract_x
_atom_site_fract_y
_atom_site_fract_z
_atom_site_occupancy
W1 W 0.0000 0.0000 0.0000 1
Au1 Au 0.3333 0.6667 0.4980 1
```

The calculation puts the formation enthalpy at 0 K at 0.523 eV/atom.



First-principles (meta-GGA SCAN) data for a PBEsol-optimized structure of La3Te, as listed in the Alexandria database.

Geometry as CIF:
```
data_La3Te
_cell_length_a 7.8393
_cell_length_b 7.8393
_cell_length_c 7.8393
_cell_angle_alpha 90.00
_cell_angle_beta 90.00
_cell_angle_gamma 90.00
_symmetry_space_group_name_H-M 'F m -3 m'
_symmetry_Int_Tables_number 225
_symmetry_space_group_name_Hall '-F 4 2 3'
loop_
_atom_site_label
_atom_site_type_symbol
_atom_site_fract_x
_atom_site_fract_y
_atom_site_fract_z
_atom_site_occupancy
La1 La 0.0000 0.0000 0.0000 1
La2 La 0.2500 0.2500 0.2500 1
Te1 Te 0.0000 0.0000 0.5000 1
```

The energy relative to the lowest polymorph listed for this composition comes out at 399.0 meV per atom.



First-principles (meta-GGA SCAN) data for a PBEsol-optimized structure of LaZrTl2, as listed in the Alexandria database.

Geometry as CIF:
```
data_LaZrTl2
_cell_length_a 3.2962
_cell_length_b 4.2965
_cell_length_c 7.1360
_cell_angle_alpha 90.00
_cell_angle_beta 90.00
_cell_angle_gamma 90.00
_symmetry_space_group_name_H-M 'P m m m'
_symmetry_Int_Tables_number 47
_symmetry_space_group_name_Hall '-P 2 2'
loop_
_atom_site_label
_atom_site_type_symbol
_atom_site_fract_x
_atom_site_fract_y
_atom_site_fract_z
_atom_site_occupancy
La1 La 0.0000 0.0000 0.0000 1
Zr1 Zr 0.0000 0.0000 0.5000 1
Tl1 Tl 0.5000 0.5000 0.2806 1
```

The calculation puts the formation enthalpy at 0 K at -0.399 eV/atom.



First-principles (meta-GGA SCAN) data for a PBEsol-optimized structure of FeAg4As, as listed in the Alexandria database.

Geometry as CIF:
```
data_FeAg4As
_cell_length_a 7.5045
_cell_length_b 7.5045
_cell_length_c 7.5045
_cell_angle_alpha 90.00
_cell_angle_beta 90.00
_cell_angle_gamma 90.00
_symmetry_space_group_name_H-M 'F -4 3 m'
_symmetry_Int_Tables_number 216
_symmetry_space_group_name_Hall 'F -4 2 3'
loop_
_atom_site_label
_atom_site_type_symbol
_atom_site_fract_x
_atom_site_fract_y
_atom_site_fract_z
_atom_site_occupancy
Fe1 Fe 0.0000 0.0000 0.0000 1
Ag1 Ag 0.1253 0.1253 0.3747 1
As1 As 0.2500 0.2500 0.7500 1
```

The calculation puts the formation enthalpy at 0 K at 0.485 eV/atom.



First-principles (meta-GGA SCAN) data for a PBEsol-optimized structure of Li2ZnSb, as listed in the Alexandria database.

Geometry as CIF:
```
data_Li2ZnSb
_cell_length_a 4.1858
_cell_length_b 4.1858
_cell_length_c 7.9642
_cell_angle_alpha 90.00
_cell_angle_beta 90.00
_cell_angle_gamma 90.00
_symmetry_space_group_name_H-M 'I -4 m 2'
_symmetry_Int_Tables_number 119
_symmetry_space_group_name_Hall 'I -4 -2'
loop_
_atom_site_label
_atom_site_type_symbol
_atom_site_fract_x
_atom_site_fract_y
_atom_site_fract_z
_atom_site_occupancy
Li1 Li 0.0000 0.0000 0.0000 1
Li2 Li 0.0000 0.5000 0.2500 1
Zn1 Zn 0.0000 0.0000 0.5000 1
Sb1 Sb 0.0000 0.5000 0.7500 1
```

The calculation puts the total energy at -113.81 eV for the cell shown.



First-principles (meta-GGA SCAN) data for a PBEsol-optimized structure of SbIr2Au, as listed in the Alexandria database.

Geometry as CIF:
```
data_SbIr2Au
_cell_length_a 3.0401
_cell_length_b 3.0401
_cell_length_c 25.0674
_cell_angle_alpha 90.00
_cell_angle_beta 90.00
_cell_angle_gamma 120.00
_symmetry_space_group_name_H-M 'R -3 m'
_symmetry_Int_Tables_number 166
_symmetry_space_group_name_Hall '-R 3 2"'
loop_
_atom_site_label
_atom_site_type_symbol
_atom_site_fract_x
_atom_site_fract_y
_atom_site_fract_z
_atom_site_occupancy
Sb1 Sb 0.0000 0.0000 0.0000 1
Ir1 Ir 0.0000 0.0000 0.2537 1
Au1 Au 0.0000 0.0000 0.5000 1
```

The calculation puts the total energy at -740.60 eV for the cell shown.



First-principles (meta-GGA SCAN) data for a PBEsol-optimized structure of SbP2Cl, as listed in the Alexandria database.

Geometry as CIF:
```
data_SbP2Cl
_cell_length_a 3.8713
_cell_length_b 3.8713
_cell_length_c 19.0225
_cell_angle_alpha 90.00
_cell_angle_beta 90.00
_cell_angle_gamma 120.00
_symmetry_space_group_name_H-M 'R -3 m'
_symmetry_Int_Tables_number 166
_symmetry_space_group_name_Hall '-R 3 2"'
loop_
_atom_site_label
_atom_site_type_symbol
_atom_site_fract_x
_atom_site_fract_y
_atom_site_fract_z
_atom_site_occupancy
Sb1 Sb 0.0000 0.0000 0.0000 1
P1 P 0.0000 0.0000 0.2563 1
Cl1 Cl 0.0000 0.0000 0.5000 1
```

The energy relative to the lowest polymorph listed for this composition comes out at 0.0 meV per atom.



First-principles (meta-GGA SCAN) data for a PBEsol-optimized structure of BeTe2Mo, as listed in the Alexandria database.

Geometry as CIF:
```
data_BeTe2Mo
_cell_length_a 3.3429
_cell_length_b 3.3429
_cell_length_c 25.2334
_cell_angle_alpha 90.00
_cell_angle_beta 90.00
_cell_angle_gamma 120.00
_symmetry_space_group_name_H-M 'R -3 m'
_symmetry_Int_Tables_number 166
_symmetry_space_group_name_Hall '-R 3 2"'
loop_
_atom_site_label
_atom_site_type_symbol
_atom_site_fract_x
_atom_site_fract_y
_atom_site_fract_z
_atom_site_occupancy
Be1 Be 0.0000 0.0000 0.0000 1
Te1 Te 0.0000 0.0000 0.3969 1
Mo1 Mo 0.0000 0.0000 0.5000 1
```

The calculation puts the total energy at -331.77 eV for the cell shown.



First-principles (meta-GGA SCAN) data for a PBEsol-optimized structure of Ba3SrMg2Te2O12, as listed in the Alexandria database.

Geometry as CIF:
```
data_Ba3SrMg2Te2O12
_cell_length_a 5.7180
_cell_length_b 5.7180
_cell_length_c 27.9856
_cell_angle_alpha 90.00
_cell_angle_beta 90.00
_cell_angle_gamma 120.00
_symmetry_space_group_name_H-M 'R 3 m'
_symmetry_Int_Tables_number 160
_symmetry_space_group_name_Hall 'R 3 -2"'
loop_
_atom_site_label
_atom_site_type_symbol
_atom_site_fract_x
_atom_site_fract_y
_atom_site_fract_z
_atom_site_occupancy
Ba1 Ba 0.0000 0.0000 0.0000 1
Ba2 Ba 0.0000 0.0000 0.2494 1
Ba3 Ba 0.0000 0.0000 0.7503 1
Sr1 Sr 0.0000 0.0000 0.4997 1
Mg1 Mg 0.0000 0.0000 0.1253 1
Mg2 Mg 0.0000 0.0000 0.6245 1
Te1 Te 0.0000 0.0000 0.3756 1
Te2 Te 0.0000 0.0000 0.8742 1
O1 O 0.0133 0.5066 0.0019 1
O2 O 0.0130 0.5065 0.5012 1
O3 O 0.1717 0.3433 0.5803 1
O4 O 0.1748 0.3496 0.0829 1
```

The calculation puts the total energy at -1052.40 eV for the cell shown.



First-principles (meta-GGA SCAN) data for a PBEsol-optimized structure of BaNbIn2F, as listed in the Alexandria database.

Geometry as CIF:
```
data_BaNbIn2F
_cell_length_a 6.2331
_cell_length_b 6.2331
_cell_length_c 4.5337
_cell_angle_alpha 90.00
_cell_angle_beta 90.00
_cell_angle_gamma 90.00
_symmetry_space_group_name_H-M 'P 4/m m m'
_symmetry_Int_Tables_number 123
_symmetry_space_group_name_Hall '-P 4 2'
loop_
_atom_site_label
_atom_site_type_symbol
_atom_site_fract_x
_atom_site_fract_y
_atom_site_fract_z
_atom_site_occupancy
Ba1 Ba 0.0000 0.0000 0.0000 1
Nb1 Nb 0.5000 0.5000 0.5000 1
In1 In 0.0000 0.5000 0.0000 1
F1 F 0.0000 0.0000 0.5000 1
```

The calculation puts the total energy at -141.63 eV for the cell shown.



First-principles (meta-GGA SCAN) data for a PBEsol-optimized structure of FeTeN3, as listed in the Alexandria database.

Geometry as CIF:
```
data_FeTeN3
_cell_length_a 3.9149
_cell_length_b 3.9149
_cell_length_c 3.9149
_cell_angle_alpha 90.00
_cell_angle_beta 90.00
_cell_angle_gamma 90.00
_symmetry_space_group_name_H-M 'P m -3 m'
_symmetry_Int_Tables_number 221
_symmetry_space_group_name_Hall '-P 4 2 3'
loop_
_atom_site_label
_atom_site_type_symbol
_atom_site_fract_x
_atom_site_fract_y
_atom_site_fract_z
_atom_site_occupancy
Fe1 Fe 0.0000 0.0000 0.0000 1
Te1 Te 0.5000 0.5000 0.5000 1
N1 N 0.0000 0.5000 0.5000 1
```

The calculation puts the total energy at -74.76 eV for the cell shown.



First-principles (meta-GGA SCAN) data for a PBEsol-optimized structure of ZrH6NOF5, as listed in the Alexandria database.

Geometry as CIF:
```
data_ZrH6NOF5
_cell_length_a 6.7701
_cell_length_b 7.5973
_cell_length_c 11.0404
_cell_angle_alpha 90.00
_cell_angle_beta 114.99
_cell_angle_gamma 90.00
_symmetry_space_group_name_H-M 'P 1 21/c 1'
_symmetry_Int_Tables_number 14
_symmetry_space_group_name_Hall '-P 2ybc'
loop_
_atom_site_label
_atom_site_type_symbol
_atom_site_fract_x
_atom_site_fract_y
_atom_site_fract_z
_atom_site_occupancy
Zr1 Zr 0.2213 0.0512 0.4573 1
H1 H 0.0171 0.6487 0.3140 1
H2 H 0.0479 0.0616 0.8100 1
H3 H 0.2532 0.5393 0.6720 1
H4 H 0.3209 0.6511 0.5590 1
H5 H 0.4089 0.0585 0.1117 1
H6 H 0.4901 0.1165 0.7807 1
N1 N 0.3751 0.5642 0.6390 1
O1 O 0.0610 0.0380 0.2310 1
F1 F 0.1090 0.5936 0.0911 1
F2 F 0.1915 0.7101 0.9005 1
F3 F 0.2044 0.1954 0.8886 1
F4 F 0.3213 0.2015 0.6240 1
F5 F 0.4847 0.0731 0.4014 1
```

The calculation puts the total energy at -455.71 eV for the cell shown.



Number 1: DOS at the Fermi energy 0.879 states/eV per atom, volume 49 Å³/cell, total moment 0.000 Bohr magnetons per cell. Number 2: DOS at the Fermi energy 1.005 states/eV per atom, volume 482 Å³/cell, total moment 12.082 Bohr magnetons per cell. Number 3: DOS at the Fermi energy 0.758 states/eV per atom, volume 101 Å³/cell, total moment 0.000 Bohr magnetons per cell. Number 4: DOS at the Fermi energy 0.851 states/eV per atom, volume 423 Å³/cell, total moment 12.268 Bohr magnetons per cell. Number 5: DOS at the Fermi energy 0.325 states/eV per atom, volume 140 Å³/cell, total moment 0.000 Bohr magnetons per cell. Number 6: DOS at the Fermi energy 0.931 states/eV per atom, volume 201 Å³/cell, total moment 0.000 Bohr magnetons per cell. Number 7: DOS at the Fermi energy 0.590 states/eV per atom, volume 247 Å³/cell, total moment 0.000 Bohr magnetons per cell. Number 8: DOS at the Fermi energy 0.745 states/eV per atom, volume 244 Å³/cell, total moment 6.447 Bohr magnetons per cell. Number 9: DOS at the Fermi energy 0.000 states/eV per atom, volume 792 Å³/cell, total moment 0.000 Bohr magnetons per cell. Number 10: DOS at the Fermi energy 0.946 states/eV per atom, volume 176 Å³/cell, total moment 3.594 Bohr magnetons per cell. Number 11: DOS at the Fermi energy 0.517 states/eV per atom, volume 60 Å³/cell, total moment 5.044 Bohr magnetons per cell. Number 12: DOS at the Fermi energy 0.000 states/eV per atom, volume 515 Å³/cell, total moment 0.236 Bohr magnetons per cell.